TiHF2 | SCAN | PBEsol geometry

```
4
Lattice="2.789 0.000 0.000 1.394 2.415 0.000 1.394 0.805 5.611" Properties=species:S:1:pos:R:3 pbc="T T T"
H 0.000 0.000 0.000
F 4.183 2.415 1.148
F 1.394 0.805 4.462
Ti 2.789 1.610 2.805
```

Properties
Crystal system   trigonal
VASP energy   -8.252 eV/atom